The following is a GGA-PBE calculation of LaSm2PtN4 after structural relaxation, from Alexandria.

## Properties
Total magnetization in μB per cell: 0.0
Energy relative to the elements, uncorrected in meV/atom: -807
Space-group type: Cmcm, No. 63

abc: 6.323 6.323 11.907
angles: 90.00 90.00 147.85
Positions (direct):
1 La 0.110 0.890 0.750
2 La 0.890 0.110 0.250
3 Sm 0.371 0.629 0.546
4 Sm 0.371 0.629 0.954
5 Sm 0.629 0.371 0.046
6 Sm 0.629 0.371 0.454
7 Pt 0.152 0.848 0.250
8 Pt 0.848 0.152 0.750
9 N 0.000 0.000 0.000
10 N 0.000 0.000 0.500
11 N 0.276 0.724 0.129
12 N 0.276 0.724 0.371
13 N 0.451 0.549 0.750
14 N 0.549 0.451 0.250
15 N 0.724 0.276 0.629
16 N 0.724 0.276 0.871